# RbBaHg2Cl8 GGA-PBE optimized geometry
# Size of the total moment = 0.90 μB/f.u.
# Total DFT energy (no corrections) = -2.70 eV/atom
data_RbBaHg2Cl8
_chemical_formula_sum 'Rb2 Ba2 Hg4 Cl16'
_cell_length_a 7.169
_cell_length_b 7.169
_cell_length_c 15.610
_cell_angle_alpha 90.00
_cell_angle_beta 90.00
_cell_angle_gamma 90.00
_space_group_name_H-M_alt 'I -4'
_space_group_IT_number 82
_space_group_name_Hall 'I -4'
loop_
_atom_site_label
_atom_site_fract_x
_atom_site_fract_y
_atom_site_fract_z
Rb1 0.000 0.000 0.000
Ba1 0.000 0.500 0.250
Hg1 0.000 0.000 0.500
Hg2 0.000 0.500 0.750
Cl1 0.144 0.263 0.413
Cl2 0.164 0.764 0.825